Entry 1:
A plane-wave DFT calculation with PBE-GGA was carried out for Pr2CuGe3 after structural relaxation.

Structure (POSCAR):
```
Pr2CuGe3
1.0
4.287 0.000 0.000
0.000 4.287 0.000
0.000 0.000 7.236
Pr Cu Ge
2 1 3
direct
0.000 0.000 0.000 Pr
0.000 0.500 0.491 Pr
0.500 0.500 0.819 Cu
0.500 0.000 0.333 Ge
0.500 0.000 0.679 Ge
0.500 0.500 0.147 Ge
```

Values from the calculation:
Symmetry: Pmm2 (25)
M_tot, μB per formula unit: 0.00
Energy relative to the lowest polymorph listed for this composition, eV per atom: 0.030
Energy of formation, meV per atom: -683
Total energy, eV for the cell shown: -31.61

---

Entry 2:
A plane-wave DFT calculation with PBE-GGA was carried out for Y2Al5Ni2Pd after structural relaxation.

Structure (POSCAR):
```
Y2Al5Ni2Pd
1.0
9.275 0.000 0.000
0.000 9.275 0.000
0.000 0.000 3.983
Y Al Ni Pd
4 10 4 2
direct
0.182 0.318 0.000 Y
0.318 0.818 0.000 Y
0.682 0.182 0.000 Y
0.818 0.682 0.000 Y
0.000 0.500 0.500 Al
0.060 0.792 0.500 Al
0.208 0.060 0.500 Al
0.292 0.560 0.500 Al
0.440 0.292 0.500 Al
0.500 0.000 0.500 Al
0.560 0.708 0.500 Al
0.708 0.440 0.500 Al
0.792 0.940 0.500 Al
0.940 0.208 0.500 Al
0.111 0.611 0.000 Ni
0.389 0.111 0.000 Ni
0.611 0.889 0.000 Ni
0.889 0.389 0.000 Ni
0.000 0.000 0.000 Pd
0.500 0.500 0.000 Pd
```

Values from the calculation:
Symmetry: P4/mbm (127)
M_tot, μB per formula unit: 0.00
Energy of formation, meV per atom: -611
Total energy, eV for the cell shown: -109.01

---

Which value of total energy does entry 1 give? -31.61 eV for the cell shown